[1]
# LaNi2Cl (PBEsol, relaxed)
# Symmetry = P4/mmm (123)
# DOS at the Fermi energy = 1.5165 states/eV per atom
# Formation energy from raw total energies = -0.1553 eV/atom
data_LaNi2Cl
_cell_length_a 3.7473
_cell_length_b 3.7473
_cell_length_c 5.6071
_cell_angle_alpha 90.00
_cell_angle_beta 90.00
_cell_angle_gamma 90.00
_space_group_name_H-M_alt 'P 1'
_space_group_IT_number 1
_space_group_name_Hall 'P 1'
loop_
_atom_site_label
_atom_site_fract_x
_atom_site_fract_y
_atom_site_fract_z
_atom_site_occupancy
La1 0.0000 0.0000 0.0000 1
Ni1 0.5000 0.5000 0.2046 1
Ni2 0.5000 0.5000 0.7954 1
Cl1 0.0000 0.0000 0.5000 1

***

[2]
# LaCl2O (PBEsol, relaxed)
# Symmetry = Fm-3m (225)
# DOS at the Fermi energy = 1.4843 states/eV per atom
# Formation energy from raw total energies = -1.5615 eV/atom
data_LaCl2O
_cell_length_a 4.7328
_cell_length_b 4.7328
_cell_length_c 4.7328
_cell_angle_alpha 60.00
_cell_angle_beta 60.00
_cell_angle_gamma 60.00
_space_group_name_H-M_alt 'P 1'
_space_group_IT_number 1
_space_group_name_Hall 'P 1'
loop_
_atom_site_label
_atom_site_fract_x
_atom_site_fract_y
_atom_site_fract_z
_atom_site_occupancy
La1 0.0000 0.0000 0.0000 1
Cl1 0.2500 0.2500 0.2500 1
Cl2 0.7500 0.7500 0.7500 1
O1 0.5000 0.5000 0.5000 1

***

[3]
# La4S4Cl2O (PBEsol, relaxed)
# Symmetry = Cmc2_1 (36)
# DOS at the Fermi energy = 0.0000 states/eV per atom
# Formation energy from raw total energies = -2.5037 eV/atom
data_La4S4Cl2O
_cell_length_a 9.2575
_cell_length_b 9.2575
_cell_length_c 6.9423
_cell_angle_alpha 90.00
_cell_angle_beta 90.00
_cell_angle_gamma 120.82
_space_group_name_H-M_alt 'P 1'
_space_group_IT_number 1
_space_group_name_Hall 'P 1'
loop_
_atom_site_label
_atom_site_fract_x
_atom_site_fract_y
_atom_site_fract_z
_atom_site_occupancy
La1 0.1087 0.3083 0.5333 1
La2 0.1806 0.8194 0.5000 1
La3 0.3061 0.6939 0.0507 1
La4 0.3083 0.1087 0.0333 1
La5 0.6917 0.8913 0.5333 1
La6 0.6939 0.3061 0.5507 1
La7 0.8194 0.1806 0.0000 1
La8 0.8913 0.6917 0.0333 1
S1 0.0302 0.5514 0.7676 1
S2 0.0373 0.9627 0.7510 1
S3 0.3675 0.6325 0.4313 1
S4 0.4486 0.9698 0.7676 1
S5 0.5514 0.0302 0.2676 1
S6 0.6325 0.3675 0.9313 1
S7 0.9627 0.0373 0.2510 1
S8 0.9698 0.4486 0.2676 1
Cl1 0.2309 0.3641 0.9305 1
Cl2 0.3641 0.2309 0.4305 1
Cl3 0.6359 0.7691 0.9305 1
Cl4 0.7691 0.6359 0.4305 1
O1 0.1678 0.8322 0.1537 1
O2 0.8322 0.1678 0.6537 1

***

[4]
# La5Ti6S3Cl3O15 (PBEsol, relaxed)
# Symmetry = C2/m (12)
# DOS at the Fermi energy = 0.0000 states/eV per atom
# Formation energy from raw total energies = -2.9636 eV/atom
data_La5Ti6S3Cl3O15
_cell_length_a 10.6978
_cell_length_b 10.6978
_cell_length_c 12.2985
_cell_angle_alpha 125.05
_cell_angle_beta 125.05
_cell_angle_gamma 70.51
_space_group_name_H-M_alt 'P 1'
_space_group_IT_number 1
_space_group_name_Hall 'P 1'
loop_
_atom_site_label
_atom_site_fract_x
_atom_site_fract_y
_atom_site_fract_z
_atom_site_occupancy
La1 0.0000 0.5000 0.0000 1
La2 0.0000 0.5000 0.5000 1
La3 0.1505 0.1505 0.6623 1
La4 0.1614 0.8386 0.0000 1
La5 0.4950 0.4950 0.3281 1
La6 0.5000 0.0000 0.0000 1
La7 0.5000 0.0000 0.5000 1
La8 0.5050 0.5050 0.6719 1
La9 0.8386 0.1614 0.0000 1
La10 0.8495 0.8495 0.3377 1
Ti1 0.1312 0.1312 0.3294 1
Ti2 0.1494 0.1494 0.9494 1
Ti3 0.1665 0.4369 0.3025 1
Ti4 0.1989 0.7968 0.6439 1
Ti5 0.2032 0.8011 0.3561 1
Ti6 0.4369 0.1665 0.3025 1
Ti7 0.5631 0.8335 0.6975 1
Ti8 0.7968 0.1989 0.6439 1
Ti9 0.8011 0.2032 0.3561 1
Ti10 0.8335 0.5631 0.6975 1
Ti11 0.8506 0.8506 0.0506 1
Ti12 0.8688 0.8688 0.6706 1
S1 0.2969 0.7023 0.1836 1
S2 0.2977 0.7031 0.8164 1
S3 0.3139 0.3139 0.0175 1
S4 0.6861 0.6861 0.9825 1
S5 0.7023 0.2969 0.1836 1
S6 0.7031 0.2977 0.8164 1
Cl1 0.1154 0.4727 0.7915 1
Cl2 0.3191 0.3191 0.6136 1
Cl3 0.4727 0.1154 0.7915 1
Cl4 0.5273 0.8846 0.2085 1
Cl5 0.6809 0.6809 0.3864 1
Cl6 0.8846 0.5273 0.2085 1
O1 0.0013 0.0013 0.8721 1
O2 0.0023 0.2191 0.7954 1
O3 0.0084 0.2243 0.4332 1
O4 0.0669 0.2989 0.0761 1
O5 0.0703 0.2974 0.2943 1
O6 0.1309 0.8691 0.5000 1
O7 0.2011 0.5725 0.4995 1
O8 0.2012 0.5745 0.2781 1
O9 0.2191 0.0023 0.7954 1
O10 0.2243 0.0084 0.4332 1
O11 0.2974 0.0703 0.2943 1
O12 0.2989 0.0669 0.0761 1
O13 0.3735 0.3735 0.3737 1
O14 0.4255 0.7988 0.7219 1
O15 0.4275 0.7989 0.5005 1
O16 0.5725 0.2011 0.4995 1
O17 0.5745 0.2012 0.2781 1
O18 0.6265 0.6265 0.6263 1
O19 0.7011 0.9331 0.9239 1
O20 0.7026 0.9297 0.7057 1
O21 0.7757 0.9916 0.5668 1
O22 0.7809 0.9977 0.2046 1
O23 0.7988 0.4255 0.7219 1
O24 0.7989 0.4275 0.5005 1
O25 0.8691 0.1309 0.5000 1
O26 0.9297 0.7026 0.7057 1
O27 0.9331 0.7011 0.9239 1
O28 0.9916 0.7757 0.5668 1
O29 0.9977 0.7809 0.2046 1
O30 0.9987 0.9987 0.1279 1

***

[5]
# LaSn2ClO (PBEsol, relaxed)
# Symmetry = P4/mmm (123)
# DOS at the Fermi energy = 0.7663 states/eV per atom
# Formation energy from raw total energies = 0.2337 eV/atom
data_LaSn2ClO
_cell_length_a 5.0807
_cell_length_b 5.0807
_cell_length_c 5.4660
_cell_angle_alpha 90.00
_cell_angle_beta 90.00
_cell_angle_gamma 90.00
_space_group_name_H-M_alt 'P 1'
_space_group_IT_number 1
_space_group_name_Hall 'P 1'
loop_
_atom_site_label
_atom_site_fract_x
_atom_site_fract_y
_atom_site_fract_z
_atom_site_occupancy
La1 0.0000 0.0000 0.0000 1
Sn1 0.0000 0.5000 0.5000 1
Sn2 0.5000 0.0000 0.5000 1
Cl1 0.0000 0.0000 0.5000 1
O1 0.5000 0.5000 0.0000 1

***

[6]
# La3TaCl3O6 (PBEsol, relaxed)
# Symmetry = P6_3/m (176)
# DOS at the Fermi energy = 0.7319 states/eV per atom
# Formation energy from raw total energies = -2.9568 eV/atom
data_La3TaCl3O6
_cell_length_a 9.4329
_cell_length_b 9.4329
_cell_length_c 5.3399
_cell_angle_alpha 90.00
_cell_angle_beta 90.00
_cell_angle_gamma 120.00
_space_group_name_H-M_alt 'P 1'
_space_group_IT_number 1
_space_group_name_Hall 'P 1'
loop_
_atom_site_label
_atom_site_fract_x
_atom_site_fract_y
_atom_site_fract_z
_atom_site_occupancy
La1 0.0905 0.6863 0.2500 1
La2 0.3137 0.4042 0.2500 1
La3 0.4042 0.0905 0.7500 1
La4 0.5958 0.9095 0.2500 1
La5 0.6863 0.5958 0.7500 1
La6 0.9095 0.3137 0.7500 1
Ta1 0.3333 0.6667 0.7500 1
Ta2 0.6667 0.3333 0.2500 1
Cl1 0.0509 0.8128 0.7500 1
Cl2 0.1872 0.2381 0.7500 1
Cl3 0.2381 0.0509 0.2500 1
Cl4 0.7619 0.9491 0.7500 1
Cl5 0.8128 0.7619 0.2500 1
Cl6 0.9491 0.1872 0.2500 1
O1 0.1584 0.5200 0.5135 1
O2 0.1584 0.5200 0.9865 1
O3 0.3616 0.8416 0.5135 1
O4 0.3616 0.8416 0.9865 1
O5 0.4800 0.6384 0.5135 1
O6 0.4800 0.6384 0.9865 1
O7 0.5200 0.3616 0.0135 1
O8 0.5200 0.3616 0.4865 1
O9 0.6384 0.1584 0.0135 1
O10 0.6384 0.1584 0.4865 1
O11 0.8416 0.4800 0.0135 1
O12 0.8416 0.4800 0.4865 1

***

Question: The highest formation energy from raw total energies belongs to which entry?
Answer: LaSn2ClO

***

Question: The highest formation energy from raw total energies belongs to which entry?
Answer: LaSn2ClO

***

Question: What is the formula in the third record?
Answer: La4S4Cl2O